1.
Rb2PbF6: optimized geometry, PBE.

Unit cell a=6.387 b=6.387 c=6.387 alpha=60.00 beta=60.00 gamma=60.00
Positions (direct):
F  0.767  0.233  0.767
F  0.767  0.767  0.233
F  0.767  0.233  0.233
F  0.233  0.767  0.767
F  0.233  0.233  0.767
F  0.233  0.767  0.233
Rb  0.250  0.250  0.250
Rb  0.750  0.750  0.750
Pb  0.000  0.000  0.000

Computed properties:
As for the formation energy (no corrections): -2400 meV/atom.


2.
HfZn2I: optimized geometry, PBE.

Unit cell a=7.926 b=7.926 c=6.314 alpha=51.12 beta=51.12 gamma=90.00
Positions (direct):
I  0.250  0.750  0.500
I  0.500  0.500  0.000
Hf  0.000  0.000  0.000
Hf  0.750  0.250  0.500
Zn  0.375  0.357  0.750
Zn  0.643  0.125  0.250
Zn  0.875  0.893  0.750
Zn  0.107  0.625  0.250

Computed properties:
As for the formation energy (no corrections): 394 meV/atom.


3.
CaLa12Pr7: optimized geometry, PBE.

Unit cell a=10.305 b=10.305 c=10.305 alpha=109.47 beta=109.47 gamma=109.47
Positions (direct):
La  0.999  0.254  0.745
La  0.746  0.255  0.001
La  0.490  0.746  0.745
La  0.745  0.490  0.746
La  0.254  0.255  0.510
La  0.001  0.746  0.255
La  0.254  0.745  0.999
La  0.255  0.001  0.746
La  0.746  0.745  0.490
La  0.510  0.254  0.255
La  0.255  0.510  0.254
La  0.745  0.999  0.254
Pr  0.000  0.000  0.500
Pr  0.000  0.500  0.500
Pr  0.500  0.000  0.500
Pr  0.500  0.500  0.500
Pr  0.000  0.500  0.000
Pr  0.500  0.000  0.000
Pr  0.500  0.500  0.000
Ca  0.000  0.000  0.000

Computed properties:
The formation enthalpy at 0 K comes out at 9.56 eV/f.u.


4.
BaAgO3: optimized geometry, PBE.

Unit cell a=4.427 b=4.427 c=9.207 alpha=90.00 beta=90.00 gamma=120.00
Each line ends with the local moment (μB).
Positions (direct):
O  0.000  0.000  0.750  0.23
O  0.667  0.333  0.952  0.80
O  0.667  0.333  0.548  0.81
O  0.333  0.667  0.048  0.80
O  0.000  0.000  0.250  0.23
O  0.333  0.667  0.452  0.81
Ag  0.000  0.000  0.000  0.17
Ag  0.000  0.000  0.500  0.17
Ba  0.667  0.333  0.250  -0.01
Ba  0.333  0.667  0.750  -0.01

Computed properties:
As for the formation energy (no corrections): -657 meV/atom.


DOS at the Fermi energy for every record listed, in sequence, given in states/eV/atom: 0.00 0.81 1.67 1.32.
Spin magnetization for every record listed, in sequence, given in μB per formula unit: 0.0 0.0 0.0 2.3.
Total energy for every record listed, in sequence, given in eV/atom: -4.27 -3.12 -4.25 -4.59.